Density functional theory data (PBE-GGA) for a relaxed HfFeNiSn crystal.

CIF file:
```
data_HfFeNiSn
_cell_length_a 6.2883
_cell_length_b 6.2883
_cell_length_c 6.2883
_cell_angle_alpha 90.00
_cell_angle_beta 90.00
_cell_angle_gamma 90.00
_space_group_name_H-M_alt 'F -4 3 m'
_space_group_IT_number 216
_space_group_name_Hall 'F -4 2 3'
loop_
_atom_site_label
_atom_site_type_symbol
_atom_site_fract_x
_atom_site_fract_y
_atom_site_fract_z
Hf1 Hf 0.0000 0.0000 0.0000
Fe1 Fe 0.2500 0.2500 0.2500
Ni1 Ni 0.2500 0.2500 0.7500
Sn1 Sn 0.0000 0.0000 0.5000
```

Properties
The value obtained for the size of the total moment is 1.67 μB per formula unit. Its crystal system is cubic. The value obtained for the total energy is -7.360 eV per atom. The density of states at the Fermi level comes out at 8.08 states/eV/cell.